Compound: KTmCoS3
Source: OQMD via LeMat-Bulk
Functional: PBE
Structure: relaxed

a = 8.7005 Å, b = 3.8370 Å, c = 9.1918 Å
α = 90.00°, β = 108.30°, γ = 90.00°
Last column: nearest neighbours and their distance in Å.
Sites, in units of the cell vectors:
S: 0.3181 0.2500 0.9638  3 Co 2.18-2.25
S: 0.3862 0.7500 0.6525  1 Co 2.28
Co: 0.5764 0.2500 0.0911  4 S 2.18-2.28
Tm: 0.8321 0.7500 0.3562  6 S 2.66-2.82
K: 0.7006 0.2500 0.7316  7 S 3.17-3.44
K: 0.2994 0.7500 0.2684  7 S 3.17-3.44
S: 0.6819 0.7500 0.0362  3 Co 2.18-2.25
S: 0.6138 0.2500 0.3474  1 Co 2.28
S: 0.9575 0.7500 0.6599  3 Tm 2.66-2.69
S: 0.0425 0.2500 0.3401  3 Tm 2.66-2.69
Tm: 0.1679 0.2500 0.6438  6 S 2.66-2.82
Co: 0.4236 0.7500 0.9089  4 S 2.18-2.28

M_tot   1.87 μB/f.u.
Total DFT energy (no corrections)   -5.488 eV per atom

Compound: Dy2Be2O5
Source: OQMD via LeMat-Bulk
Functional: PBE
Structure: relaxed

a = 8.6307 Å, b = 3.7807 Å, c = 3.7807 Å
α = 90.00°, β = 90.00°, γ = 90.00°
Last column: nearest neighbours and their distance in Å.
Sites, in units of the cell vectors:
O: 0.8710 0.5000 0.0000  2 Dy 2.12, 2 Be 2.19, 1 O 2.23
O: 0.5000 0.5000 0.5000  2 Dy 2.24
O: 0.1290 0.0000 0.5000  2 Dy 2.12, 2 Be 2.19, 1 O 2.23
Be: 0.5000 0.0000 0.0000  4 O 2.67
O: 0.1290 0.5000 0.0000  2 Dy 2.12, 2 Be 2.19, 1 O 2.23
Dy: 0.2403 0.5000 0.5000  5 O 2.12-2.24
Be: 0.0000 0.0000 0.0000  8 O 2.19
O: 0.8710 0.0000 0.5000  2 Dy 2.12, 2 Be 2.19, 1 O 2.23
Dy: 0.7597 0.5000 0.5000  5 O 2.12-2.24

Energy relative to the lowest polymorph listed for this composition   1351 meV/atom
M_tot   1.05 μB/f.u.

Compound: NdHoAu
Source: OQMD via LeMat-Bulk
Functional: PBE
Structure: relaxed

a = 4.9302 Å, b = 4.9302 Å, c = 4.9302 Å
α = 60.00°, β = 60.00°, γ = 60.00°
Last column: nearest neighbours and their distance in Å.
Sites, in units of the cell vectors:
Nd: 0.0000 0.0000 0.0000  4 Au 3.02, 4 Ho 3.02
Ho: 0.7500 0.7500 0.7500  4 Nd 3.02
Au: 0.2500 0.2500 0.2500  4 Nd 3.02

Energy relative to the lowest polymorph listed for this composition   787 meV/atom
M_tot   0.01 μB/f.u.
Formation energy from the elements   0.5 eV per formula unit

Compound: Rb2TcO4
Source: OQMD via LeMat-Bulk
Functional: PBE
Structure: relaxed

a = 6.3412 Å, b = 6.3412 Å, c = 8.2139 Å
α = 90.00°, β = 90.00°, γ = 120.00°
Last column: nearest neighbours and their distance in Å.
Sites, in units of the cell vectors:
O: 0.1820 0.3639 0.2206  1 Tc 1.79
O: 0.3333 0.6667 0.5177  1 Tc 1.77
Rb: 0.0000 0.0000 0.0000  6 O 2.70
Tc: 0.3333 0.6667 0.3024  4 O 1.77-1.79
O: 0.6361 0.8180 0.2206  1 Tc 1.79
Rb: 0.3333 0.6667 0.8394  1 O 2.64
O: 0.1820 0.8180 0.2206  1 Tc 1.79
O: 0.6667 0.3333 0.4823  1 Tc 1.77
O: 0.8180 0.1820 0.7794  1 Tc 1.79
Rb: 0.0000 0.0000 0.5000  6 O 3.04
O: 0.3639 0.1820 0.7794  1 Tc 1.79
O: 0.8180 0.6361 0.7794  1 Tc 1.79
Tc: 0.6667 0.3333 0.6976  4 O 1.77-1.79
Rb: 0.6667 0.3333 0.1606  1 O 2.64

Energy relative to the lowest polymorph listed for this composition   0 meV/atom
M_tot   1.00 μB/f.u.

Compound: Fe11Mo6C5
Source: OQMD via LeMat-Bulk
Functional: PBE
Structure: relaxed

a = 6.5356 Å, b = 6.6712 Å, c = 6.6712 Å
α = 110.28°, β = 114.66°, γ = 65.34°
Last column: nearest neighbours and their distance in Å.
Sites, in units of the cell vectors:
Mo: 0.0399 0.9167 0.6860  2 C 2.07-2.19
Fe: 0.0000 0.5000 0.5000  6 Fe 2.47, 6 Mo 2.70-2.76
C: 0.6920 0.0424 0.4405  4 Fe 1.93-2.07
Fe: 0.7954 0.7621 0.2379  2 C 1.93
Fe: 0.6264 0.8070 0.5223  2 C 1.98-2.07
Fe: 0.5000 0.8353 0.8353  2 C 1.97
Fe: 0.6627 0.1361 0.8639  1 C 1.93
C: 0.3080 0.4405 0.0424  4 Fe 1.93-2.07
C: 0.3080 0.9576 0.5595  4 Fe 1.93-2.07
Mo: 0.7151 0.3808 0.6192  2 C 2.19
C: 0.0000 0.0000 0.0000  2 Fe 1.93, 4 Mo 2.07
Fe: 0.3373 0.8640 0.1360  1 C 1.93
Fe: 0.3736 0.1930 0.4777  2 C 1.98-2.07
Mo: 0.9601 0.6860 0.9167  2 C 2.07-2.19
Mo: 0.2849 0.6192 0.3808  2 C 2.19
Fe: 0.3736 0.5223 0.8070  2 C 1.98-2.07
Mo: 0.9601 0.0833 0.3140  2 C 2.07-2.19
C: 0.6920 0.5595 0.9576  4 Fe 1.93-2.07
Fe: 0.5000 0.1647 0.1647  2 C 1.97
Fe: 0.6264 0.4777 0.1930  2 C 1.98-2.07
Fe: 0.2046 0.2379 0.7621  2 C 1.93
Mo: 0.0399 0.3140 0.0833  2 C 2.07-2.19

M_tot   10.31 μB/f.u.
Total DFT energy (no corrections)   -9.207 eV per atom

Compound: ScZnInTe3
Source: OQMD via LeMat-Bulk
Functional: PBE
Structure: relaxed

a = 9.6945 Å, b = 9.6945 Å, c = 9.1261 Å
α = 101.84°, β = 101.84°, γ = 24.98°
Last column: nearest neighbours and their distance in Å.
Sites, in units of the cell vectors:
Te: 0.6777 0.6777 0.3047  1 Zn 2.71, 2 Sc 2.93
Sc: 0.8261 0.8261 0.9218  6 Te 2.89-3.22
Sc: 0.1739 0.1739 0.0782  6 Te 2.89-3.22
Te: 0.5000 0.5000 0.5000  2 Zn 2.78
In: 0.1358 0.1358 0.5685  7 Te 3.27-3.48
Te: 0.0000 0.0000 0.0000  4 Zn 2.86
Zn: 0.5320 0.5320 0.2166  4 Te 2.71-2.86
Te: 0.3300 0.3300 0.1445  3 Sc 2.89-2.91
Te: 0.3223 0.3223 0.6953  1 Zn 2.71, 2 Sc 2.93
In: 0.8642 0.8642 0.4315  7 Te 3.27-3.48
Zn: 0.4680 0.4680 0.7834  4 Te 2.71-2.86
Te: 0.6700 0.6700 0.8555  3 Sc 2.89-2.91

Energy relative to the lowest polymorph listed for this composition   98 meV/atom
M_tot   0.00 μB/f.u.

Compound: Pr2Hg3Pb3
Source: OQMD via LeMat-Bulk
Functional: PBE
Structure: relaxed

a = 4.8042 Å, b = 4.8921 Å, c = 9.3910 Å
α = 90.00°, β = 90.00°, γ = 90.00°
Last column: nearest neighbours and their distance in Å.
Sites, in units of the cell vectors:
Hg: 0.5000 0.5000 0.7566  2 Hg 3.32, 6 Pb 3.35-3.43, 4 Pr 3.43
Hg: 0.5000 0.5000 0.2434  2 Hg 3.32, 6 Pb 3.35-3.43, 4 Pr 3.43
Pb: 0.0000 0.5000 0.5000  4 Pr 3.40, 4 Hg 3.40, 4 Pb 3.43
Pr: 0.0000 0.0000 0.7512  6 Pb 3.35-3.40, 6 Hg 3.38-3.43
Pr: 0.0000 0.0000 0.2488  6 Pb 3.35-3.40, 6 Hg 3.38-3.43
Pb: 0.5000 0.0000 0.0000  8 Hg 3.35-3.43, 4 Pr 3.35
Hg: 0.0000 0.5000 0.0000  4 Hg 3.32, 4 Pr 3.38, 4 Pb 3.43
Pb: 0.5000 0.0000 0.5000  4 Pr 3.37, 4 Pb 3.43, 4 Hg 3.43

M_tot   0.01 μB/f.u.
Total DFT energy (no corrections)   -3.103 eV per atom

Compound: BaTbPO
Source: OQMD via LeMat-Bulk
Functional: PBE
Structure: relaxed

a = 4.5273 Å, b = 4.5273 Å, c = 9.1684 Å
α = 90.00°, β = 90.00°, γ = 90.00°
Last column: nearest neighbours and their distance in Å.
Sites, in units of the cell vectors:
O: 0.0000 0.0000 0.0000  4 Tb 2.36
Tb: 0.5000 0.0000 0.9283  4 O 2.36
P: 0.5000 0.0000 0.2720  4 Ba 3.08, 1 Tb 3.15, 4 O 3.37
Ba: 0.0000 0.0000 0.5000  4 P 3.08, 4 Ba 3.20
O: 0.5000 0.5000 0.0000  4 Tb 2.36
Tb: 0.0000 0.5000 0.0717  4 O 2.36
P: 0.0000 0.5000 0.7280  4 Ba 3.08, 1 Tb 3.15, 4 O 3.37
Ba: 0.5000 0.5000 0.5000  4 P 3.08, 4 Ba 3.20

Energy relative to the lowest polymorph listed for this composition   511 meV/atom
M_tot   0.00 μB/f.u.

Compound: TbCoCl6
Source: OQMD via LeMat-Bulk
Functional: PBE
Structure: relaxed

a = 6.3636 Å, b = 6.3636 Å, c = 6.3365 Å
α = 99.73°, β = 99.73°, γ = 119.92°
Last column: nearest neighbours and their distance in Å.
Sites, in units of the cell vectors:
Cl: 0.8038 0.7571 0.7702  1 Co 2.28
Cl: 0.0917 0.4698 0.7714  1 Co 2.28
Cl: 0.9527 0.6216 0.2238  1 Co 2.27
Cl: 0.5302 0.9083 0.2286  1 Co 2.28
Tb: 0.8337 0.1663 0.0000  6 Cl 2.65-2.67
Cl: 0.2429 0.1962 0.2298  1 Co 2.28
Cl: 0.3784 0.0473 0.7762  1 Co 2.27
Co: 0.1666 0.8334 0.0000  6 Cl 2.27-2.28

M_tot   0.00 μB/f.u.
Total DFT energy (no corrections)   -4.227 eV per atom

Compound: LiAlNiPb
Source: OQMD via LeMat-Bulk
Functional: PBE
Structure: relaxed

a = 4.6168 Å, b = 4.6168 Å, c = 4.6168 Å
α = 60.00°, β = 60.00°, γ = 60.00°
Last column: nearest neighbours and their distance in Å.
Sites, in units of the cell vectors:
Al: 0.0000 0.0000 0.0000  4 Li 2.83, 4 Pb 2.83
Ni: 0.5000 0.5000 0.5000  4 Li 2.83, 4 Pb 2.83
Li: 0.7500 0.7500 0.7500  4 Al 2.83, 4 Ni 2.83
Pb: 0.2500 0.2500 0.2500  4 Ni 2.83, 4 Al 2.83

Energy relative to the lowest polymorph listed for this composition   250 meV/atom
M_tot   0.00 μB/f.u.

Compound: NbInAu2
Source: OQMD via LeMat-Bulk
Functional: PBE
Structure: relaxed

a = 4.7361 Å, b = 4.7361 Å, c = 4.7361 Å
α = 60.00°, β = 60.00°, γ = 60.00°
Last column: nearest neighbours and their distance in Å.
Sites, in units of the cell vectors:
Au: 0.7500 0.7500 0.7500  4 In 2.90, 4 Au 2.90
Au: 0.0000 0.0000 0.0000  4 Nb 2.90, 4 Au 2.90
In: 0.5000 0.5000 0.5000  4 Nb 2.90, 4 Au 2.90
Nb: 0.2500 0.2500 0.2500  4 In 2.90, 4 Au 2.90

M_tot   0.54 μB/f.u.
Total DFT energy (no corrections)   -4.723 eV per atom

Compound: NaDy
Source: OQMD via LeMat-Bulk
Functional: PBE
Structure: relaxed

a = 3.4369 Å, b = 3.4369 Å, c = 6.1469 Å
α = 90.00°, β = 90.00°, γ = 120.00°
Last column: nearest neighbours and their distance in Å.
Sites, in units of the cell vectors:
Na: 0.3333 0.6667 0.2500  6 Na 3.44, 6 Dy 3.66
Dy: 0.6667 0.3333 0.7500  6 Dy 3.44, 6 Na 3.66

Energy relative to the lowest polymorph listed for this composition   0 meV/atom
M_tot   0.04 μB/f.u.

Compound: HoErZn4
Source: OQMD via LeMat-Bulk
Functional: PBE
Structure: relaxed

a = 5.6115 Å, b = 5.6115 Å, c = 5.6115 Å
α = 133.35°, β = 102.10°, γ = 95.96°
Last column: nearest neighbours and their distance in Å.
Sites, in units of the cell vectors:
Zn: 0.8720 0.1659 0.7061  3 Zn 2.56-2.57
Zn: 0.6279 0.8340 0.7939  3 Zn 2.56-2.57
Zn: 0.0402 0.8340 0.2061  3 Zn 2.56-2.57
Zn: 0.4598 0.1659 0.2939  3 Zn 2.56-2.57
Ho: 0.0301 0.5301 0.5000  12 Zn 3.04-3.21
Er: 0.4701 0.4701 0.0000  12 Zn 3.04-3.21

Energy relative to the lowest polymorph listed for this composition   0 meV/atom
M_tot   0.00 μB/f.u.
Formation energy from the elements   -2.4 eV per formula unit

Compound: PrSmAl2Br2
Source: OQMD via LeMat-Bulk
Functional: PBE
Structure: relaxed

a = 4.3021 Å, b = 4.3021 Å, c = 11.5245 Å
α = 90.00°, β = 90.00°, γ = 120.00°
Last column: nearest neighbours and their distance in Å.
Sites, in units of the cell vectors:
Al: 0.6667 0.3333 0.4863  3 Al 2.51
Al: 0.3333 0.6667 0.5195  3 Al 2.51
Sm: 0.0000 0.0000 0.6868  3 Br 3.03, 6 Al 3.14-3.39
Br: 0.6667 0.3333 0.8374  3 Sm 3.03
Pr: 0.0000 0.0000 0.3135  3 Br 3.07, 6 Al 3.18-3.44
Br: 0.3333 0.6667 0.1565  3 Pr 3.07

M_tot   0.01 μB/f.u.
Total DFT energy (no corrections)   -4.497 eV per atom

Compound: TaRe2Os2
Source: OQMD via LeMat-Bulk
Functional: PBE
Structure: relaxed

a = 6.2280 Å, b = 6.2280 Å, c = 6.2280 Å
α = 143.30°, β = 143.30°, γ = 52.87°
Last column: nearest neighbours and their distance in Å.
Sites, in units of the cell vectors:
Ta: 0.0000 0.0000 0.0000  8 Os 3.01
Re: 0.2500 0.7500 0.5000  4 Os 2.53, 4 Re 2.77
Os: 0.6061 0.6061 0.0000  1 Os 2.37, 4 Re 2.53
Re: 0.7500 0.2500 0.5000  4 Os 2.53, 4 Re 2.77
Os: 0.3939 0.3939 0.0000  1 Os 2.37, 4 Re 2.53

Energy relative to the lowest polymorph listed for this composition   0 meV/atom
M_tot   0.01 μB/f.u.
Formation energy from the elements   2.2 eV per formula unit

Compound: Li2HoC5
Source: OQMD via LeMat-Bulk
Functional: PBE
Structure: relaxed

a = 4.9026 Å, b = 4.9026 Å, c = 4.5560 Å
α = 90.00°, β = 90.00°, γ = 90.00°
Last column: nearest neighbours and their distance in Å.
Sites, in units of the cell vectors:
Li: 0.0000 0.5000 0.5000  2 C 2.45
Li: 0.5000 0.0000 0.5000  2 C 2.45
C: 0.6504 0.3496 0.0000  2 C 1.47
Ho: 0.0000 0.0000 0.0000  6 C 2.28-2.42
C: 0.3496 0.6504 0.0000  2 C 1.47
C: 0.0000 0.0000 0.5000  2 Ho 2.28, 4 Li 2.45
C: 0.3496 0.3496 0.0000  2 C 1.47
C: 0.6504 0.6504 0.0000  2 C 1.47

M_tot   0.17 μB/f.u.
Total DFT energy (no corrections)   -5.821 eV per atom

Compound: LiMgCu2
Source: OQMD via LeMat-Bulk
Functional: PBE
Structure: relaxed

a = 4.2453 Å, b = 4.2453 Å, c = 4.2453 Å
α = 60.00°, β = 60.00°, γ = 60.00°
Last column: nearest neighbours and their distance in Å.
Sites, in units of the cell vectors:
Cu: 0.0000 0.0000 0.0000  4 Mg 2.60, 4 Cu 2.60
Li: 0.5000 0.5000 0.5000  4 Mg 2.60, 4 Cu 2.60
Mg: 0.2500 0.2500 0.2500  4 Cu 2.60, 4 Li 2.60
Cu: 0.7500 0.7500 0.7500  4 Li 2.60, 4 Cu 2.60

Total DFT energy (no corrections)   -2.786 eV per atom

Compound: TaTlCuPt
Source: OQMD via LeMat-Bulk
Functional: PBE
Structure: relaxed

a = 4.6025 Å, b = 4.6025 Å, c = 4.6025 Å
α = 60.00°, β = 60.00°, γ = 60.00°
Last column: nearest neighbours and their distance in Å.
Sites, in units of the cell vectors:
Ta: 0.2500 0.2500 0.2500  4 Pt 2.82, 4 Tl 2.82
Cu: 0.7500 0.7500 0.7500  4 Tl 2.82, 4 Pt 2.82
Pt: 0.5000 0.5000 0.5000  4 Ta 2.82, 4 Cu 2.82
Tl: 0.0000 0.0000 0.0000  4 Ta 2.82, 4 Cu 2.82

Energy relative to the lowest polymorph listed for this composition   40 meV/atom
M_tot   0.00 μB/f.u.

Compound: Hf4CoBiC2
Source: OQMD via LeMat-Bulk
Functional: PBE
Structure: relaxed

a = 3.3282 Å, b = 3.3282 Å, c = 13.7359 Å
α = 90.00°, β = 90.00°, γ = 120.00°
Last column: nearest neighbours and their distance in Å.
Sites, in units of the cell vectors:
Hf: 0.0000 0.0000 0.6349  3 C 2.36
Hf: 0.3333 0.6667 0.1801  3 C 2.25
Co: 0.3333 0.6667 0.5000  6 Hf 2.67
C: 0.6667 0.3333 0.7343  6 Hf 2.25-2.36
C: 0.6667 0.3333 0.2657  6 Hf 2.25-2.36
Hf: 0.3333 0.6667 0.8199  3 C 2.25
Hf: 0.0000 0.0000 0.3651  3 C 2.36
Bi: 0.0000 0.0000 0.0000  6 Hf 3.13, 6 Bi 3.33

M_tot   0.43 μB/f.u.
Total DFT energy (no corrections)   -9.179 eV per atom